{
  "formula": "AlHg2Pd2",
  "functional": "GGA-PBE",
  "state": "optimized geometry",
  "lattice": [[6.582, 0.000, 0.000], [0.000, 6.582, 0.000], [0.000, 0.000, 4.299]],
  "species": ["Pd", "Pd", "Pd", "Pd", "Al", "Al", "Hg", "Hg", "Hg", "Hg"],
  "fractional_positions": [[0.151, 0.349, 0.000], [0.349, 0.849, 0.000], [0.849, 0.651, 0.000], [0.651, 0.151, 0.000], [0.000, 0.000, 0.000], [0.500, 0.500, 0.000], [0.341, 0.159, 0.500], [0.841, 0.341, 0.500], [0.159, 0.659, 0.500], [0.659, 0.841, 0.500]],
  "crystal_system": "tetragonal",
  "sg": "No. 127",
  "e_tot_ev_per_atom": -3.217,
  "formation_energy_ev_per_atom": -0.271
}